## 1
Computed, not measured: a geometry-optimized Cs2K2Sn2Au7 structure at the PBE level of DFT.

abc: 10.7772 10.7772 10.7772
angles: 37.59 37.59 37.59
Last column: nearest neighbours and their distance in Å.
Fractional coordinates of all 13 atoms:
Cs: 0.1880 0.1880 0.1880  9 Au 3.78-4.08, 1 K 3.89, 3 Sn 4.10, 3 Cs 4.21
Cs: 0.8120 0.8120 0.8120  9 Au 3.78-4.08, 1 K 3.89, 3 Sn 4.10, 3 Cs 4.21
K: 0.3177 0.3177 0.3177  9 Au 3.60-3.92, 1 Cs 3.89, 1 Sn 3.95
K: 0.6823 0.6823 0.6823  9 Au 3.60-3.92, 1 Cs 3.89, 1 Sn 3.95
Sn: 0.4494 0.4494 0.4494  3 Au 2.66
Sn: 0.5506 0.5506 0.5506  3 Au 2.66
Au: 0.0000 0.0000 0.0000  6 Au 2.79
Au: 0.1994 0.7880 0.7880  1 Sn 2.66, 3 Au 2.79-2.86
Au: 0.2120 0.2120 0.8006  1 Sn 2.66, 3 Au 2.79-2.86
Au: 0.2120 0.8006 0.2120  1 Sn 2.66, 3 Au 2.79-2.86
Au: 0.7880 0.1994 0.7880  1 Sn 2.66, 3 Au 2.79-2.86
Au: 0.7880 0.7880 0.1994  1 Sn 2.66, 3 Au 2.79-2.86
Au: 0.8006 0.2120 0.2120  1 Sn 2.66, 3 Au 2.79-2.86

=====

## 2
Computed, not measured: a geometry-optimized Cs2K2Sn2Au7 structure at the PBE level of DFT.

abc: 10.5920 10.5920 10.5920
angles: 38.65 38.65 38.65
Last column: nearest neighbours and their distance in Å.
Fractional coordinates of all 13 atoms:
Cs: 0.1862 0.1862 0.1862  1 K 3.78, 12 Au 3.80-4.09, 1 Sn 4.01, 3 Cs 4.21
Cs: 0.8138 0.8138 0.8138  1 K 3.78, 12 Au 3.80-4.09, 1 Sn 4.01, 3 Cs 4.21
K: 0.3151 0.3151 0.3151  3 Au 3.48, 1 Cs 3.78
K: 0.6849 0.6849 0.6849  3 Au 3.48, 1 Cs 3.78
Sn: 0.0498 0.0498 0.0498  3 Au 2.66, 1 Sn 2.92
Sn: 0.9502 0.9502 0.9502  3 Au 2.66, 1 Sn 2.92
Au: 0.2863 0.2863 0.6868  1 Sn 2.66, 3 Au 2.81-2.86
Au: 0.2863 0.6868 0.2863  1 Sn 2.66, 3 Au 2.81-2.86
Au: 0.3132 0.7137 0.7137  1 Sn 2.66, 3 Au 2.81-2.86
Au: 0.5000 0.5000 0.5000  6 Au 2.86
Au: 0.6868 0.2863 0.2863  1 Sn 2.66, 3 Au 2.81-2.86
Au: 0.7137 0.3132 0.7137  1 Sn 2.66, 3 Au 2.81-2.86
Au: 0.7137 0.7137 0.3132  1 Sn 2.66, 3 Au 2.81-2.86

=====

It comes down to 1, which is 6 meV per atom more stable than the next structure.